Record 1
An optimized crystal structure of W3Br, computed with PBE-GGA.

Unit cell a=3.0990 b=3.0990 c=7.1537 alpha=90.00 beta=90.00 gamma=90.00
Closest atoms and distances in Å follow each position.
Space group P4/mmm (No. 123)
Asymmetric unit:
W 0.0000 0.0000 0.0000  8 W 2.72
W 0.5000 0.5000 0.2253  4 W 2.72, 4 Br 2.94
Br 0.0000 0.0000 0.5000  8 W 2.94, 4 Br 3.10

Output
E_form (uncorrected) = 0.7459 eV/atom
M_tot = 0.000 μB per atom
energy above the most stable polymorph in this dataset = 1.2 kJ/mol of atoms

Record 2
An optimized crystal structure of Dy5CdPb6, computed with PBE-GGA.

Unit cell a=16.0479 b=8.9701 c=4.8930 alpha=90.00 beta=107.61 gamma=90.00
Closest atoms and distances in Å follow each position.
Space group C2/m (No. 12)
Asymmetric unit:
Dy 0.0000 0.0000 0.0000  8 Pb 3.25-3.42, 4 Dy 3.57
Dy 0.1443 0.5000 0.6445  8 Pb 3.22-3.59, 2 Cd 3.29-3.30
Dy 0.1698 0.0000 0.6692  8 Pb 3.30-3.36, 2 Dy 3.57
Cd 0.0000 0.5000 0.0000  4 Dy 3.29-3.30, 8 Pb 3.39-3.46
Pb 0.0000 0.2380 0.5000  6 Dy 3.22-3.36, 2 Cd 3.39, 4 Pb 3.57-3.58
Pb 0.1706 0.2469 0.1704  7 Dy 3.30-3.59, 4 Pb 3.44-3.58, 1 Cd 3.46

Output
M_tot = 0.000 μB per atom
calculated formation energy = -0.388 eV/atom

Record 3
An optimized crystal structure of Pm3Dy12Er, computed with PBE-GGA.

Unit cell a=5.0332 b=5.0332 c=20.1321 alpha=90.00 beta=90.00 gamma=90.00
Closest atoms and distances in Å follow each position.
Space group P4/mmm (No. 123)
Asymmetric unit:
Pm 0.0000 0.0000 0.0000  12 Dy 3.56-3.57
Pm 0.0000 0.0000 0.2509  12 Dy 3.56-3.57
Dy 0.0000 0.5000 0.1256  8 Dy 3.56-3.57, 4 Pm 3.56-3.57
Dy 0.0000 0.5000 0.3767  8 Dy 3.53-3.56, 2 Er 3.53, 2 Pm 3.57
Dy 0.5000 0.5000 0.0000  4 Pm 3.56, 8 Dy 3.57
Dy 0.5000 0.5000 0.2514  4 Pm 3.56, 8 Dy 3.56-3.57
Dy 0.5000 0.5000 0.5000  8 Dy 3.53, 4 Er 3.56
Er 0.0000 0.0000 0.5000  12 Dy 3.53-3.56

Output
M_tot = 0.000 μB per atom
calculated formation energy = 0.019 eV/atom

Record 4
An optimized crystal structure of Cs3CaIn, computed with PBE-GGA.

Unit cell a=7.4573 b=7.4573 c=7.4573 alpha=90.00 beta=90.00 gamma=90.00
Closest atoms and distances in Å follow each position.
Space group Pm-3m (No. 221)
Asymmetric unit:
Cs 0.0000 0.0000 0.5000  2 In 3.73
Ca 0.5000 0.5000 0.5000  12 Cs 5.27
In 0.0000 0.0000 0.0000  6 Cs 3.73

Output
M_tot = 0.000 μB per atom
calculated formation energy = 0.294 eV/atom

Please write out number 2 again, unchanged.
An optimized crystal structure of Dy5CdPb6, computed with PBE-GGA.

Unit cell a=16.0479 b=8.9701 c=4.8930 alpha=90.00 beta=107.61 gamma=90.00
Closest atoms and distances in Å follow each position.
Space group C2/m (No. 12)
Asymmetric unit:
Dy 0.0000 0.0000 0.0000  8 Pb 3.25-3.42, 4 Dy 3.57
Dy 0.1443 0.5000 0.6445  8 Pb 3.22-3.59, 2 Cd 3.29-3.30
Dy 0.1698 0.0000 0.6692  8 Pb 3.30-3.36, 2 Dy 3.57
Cd 0.0000 0.5000 0.0000  4 Dy 3.29-3.30, 8 Pb 3.39-3.46
Pb 0.0000 0.2380 0.5000  6 Dy 3.22-3.36, 2 Cd 3.39, 4 Pb 3.57-3.58
Pb 0.1706 0.2469 0.1704  7 Dy 3.30-3.59, 4 Pb 3.44-3.58, 1 Cd 3.46

Output
M_tot = 0.000 μB per atom
calculated formation energy = -0.388 eV/atom

Please write out number 1 again, unchanged.
An optimized crystal structure of W3Br, computed with PBE-GGA.

Unit cell a=3.0990 b=3.0990 c=7.1537 alpha=90.00 beta=90.00 gamma=90.00
Closest atoms and distances in Å follow each position.
Space group P4/mmm (No. 123)
Asymmetric unit:
W 0.0000 0.0000 0.0000  8 W 2.72
W 0.5000 0.5000 0.2253  4 W 2.72, 4 Br 2.94
Br 0.0000 0.0000 0.5000  8 W 2.94, 4 Br 3.10

Output
E_form (uncorrected) = 0.7459 eV/atom
M_tot = 0.000 μB per atom
energy above the most stable polymorph in this dataset = 1.2 kJ/mol of atoms